(1)
# YTmAlNi

YTmAlNi after structural relaxation (GGA-PBE, Alexandria via LeMat-Bulk).

It has space group F-43m (No. 216), with a = 6.989 Å, b = 6.989 Å, c = 6.989 Å, α = 90.00°, β = 90.00° and γ = 90.00°. The inequivalent atoms are Y at (0.000, 0.000, 0.000), Tm at (0.000, 0.000, 0.500), Al at (0.250, 0.250, 0.250) and Ni at (0.250, 0.250, 0.750).

As for the total magnetic moment: 0.00 μB/atom. The value obtained for the energy is -5.453 eV/atom.

***

(2)
# Na4Pm3HfTe8

Na4Pm3HfTe8 after structural relaxation (GGA-PBE, Alexandria via LeMat-Bulk).

It has space group R-3m (No. 166, hexagonal axes), with a = 8.8230 Å, b = 8.8230 Å, c = 22.8385 Å, α = 90.00°, β = 90.00° and γ = 120.00°. The inequivalent atoms are Na at (0.0000, 0.0000, 0.0000), Na at (0.0000, 0.5000, 0.0000), Pm at (0.0000, 0.5000, 0.5000), Hf at (0.0000, 0.0000, 0.5000), Te at (0.0000, 0.0000, 0.2477) and Te at (0.0201, 0.5100, 0.2436).

As for the total magnetic moment: 0.00 μB/atom. For the uncorrected formation energy, the calculation gives -18.93 eV/f.u. The value obtained for the energy is -4.596 eV/atom.

***

(3)
# Al2CoRu2

Al2CoRu2 after structural relaxation (GGA-PBE, Alexandria via LeMat-Bulk).

It has space group P4/mbm (No. 127), with a = 6.717 Å, b = 6.717 Å, c = 3.180 Å, α = 90.00°, β = 90.00° and γ = 90.00°. The inequivalent atoms are Al at (0.153, 0.347, 0.000), Co at (0.000, 0.000, 0.500) and Ru at (0.147, 0.647, 0.500).

As for the total magnetic moment: 0.55 μB/atom. The value obtained for the energy is -6.767 eV/atom. The value obtained for the energy relative to the lowest polymorph listed for this composition is 50 meV per atom.

***

(4)
# Ag2SbTe4Pb

Ag2SbTe4Pb after structural relaxation (GGA-PBE, Alexandria via LeMat-Bulk).

It has space group P2/m (No. 10), with a = 7.464 Å, b = 4.372 Å, c = 7.593 Å, α = 90.00°, β = 110.34° and γ = 90.00°. The inequivalent atoms are Ag at (0.000, 0.000, 0.000), Ag at (0.000, 0.500, 0.500), Sb at (0.500, 0.000, 0.500), Te at (0.227, 0.000, 0.733), Te at (0.234, 0.500, 0.251) and Pb at (0.500, 0.500, 0.000).

As for the total magnetic moment: 0.00 μB/atom. For the uncorrected formation energy, the calculation gives -1.00 eV/f.u. The value obtained for the energy is -3.388 eV/atom.

***

(5)
# BaLiCdPt

BaLiCdPt after structural relaxation (GGA-PBE, Alexandria via LeMat-Bulk).

It has space group Cm (No. 8), with a = 8.248 Å, b = 4.758 Å, c = 6.097 Å, α = 90.00°, β = 116.50° and γ = 90.00°. The inequivalent atoms are Ba at (0.000, 0.000, 0.000), Li at (0.313, 0.500, 0.440), Cd at (0.009, 0.500, 0.528) and Pt at (0.199, 0.000, 0.597).

As for the total magnetic moment: 0.00 μB/atom. The value obtained for the energy is -3.195 eV/atom.

***

(6)
# AcHgBr6

AcHgBr6 after structural relaxation (GGA-PBE, Alexandria via LeMat-Bulk).

It has space group P-1 (No. 2), with a = 5.433 Å, b = 7.173 Å, c = 7.735 Å, α = 96.55°, β = 92.05° and γ = 108.90°. The inequivalent atoms are Ac at (0.000, 0.000, 0.000), Hg at (0.500, 0.500, 0.500), Br at (0.063, 0.257, 0.406), Br at (0.232, 0.461, 0.973) and Br at (0.490, 0.962, 0.221).

As for the total magnetic moment: 0.00 μB/atom. For the uncorrected formation energy, the calculation gives -8.30 eV/f.u. The value obtained for the energy is -2.844 eV/atom.

***

Among the records above, which one has the lowest energy?
Al2CoRu2

***

The highest total magnetic moment belongs to which entry?
Al2CoRu2

***

Which of these has the highest total magnetic moment?
Al2CoRu2

***

Look up the total magnetic moment of the second one.
0.00 μB/atom